# CrO GGA+U optimized geometry
# Raw total energy = -7.70 eV per atom
data_CrO
_chemical_formula_sum 'Cr8 O8'
_space_group_name_H-M_alt 'C m c e'
_space_group_IT_number 64
_space_group_name_Hall '-C 2ac 2'
_cell_length_a 5.740
_cell_length_b 5.776
_cell_length_c 7.172
_cell_angle_alpha 90.00
_cell_angle_beta 90.00
_cell_angle_gamma 90.00
loop_
_atom_site_label
_atom_site_type_symbol
_atom_site_fract_x
_atom_site_fract_y
_atom_site_fract_z
Cr1 Cr 0.000 0.142 0.209
O1 O 0.250 0.108 0.750